Here is TlTcAuS3 after structural relaxation from the Open Quantum Materials Database. Energies are from PBE-GGA.

Calculated values
- Crystal system: orthorhombic
- Magnetization: 0.83 μB/f.u.
- Calculated volume: 130 Å³/f.u.
- Raw total energy: -4.889 eV/atom

Unit cell a=8.032 b=8.032 c=9.453 alpha=90.00 beta=90.00 gamma=154.78
Fractional positions:
Tl  0.181  0.819  0.750
Tl  0.819  0.181  0.250
Tc  0.500  0.500  0.000
Tc  0.500  0.500  0.500
Au  0.167  0.833  0.250
Au  0.833  0.167  0.750
S  0.105  0.895  0.025
S  0.105  0.895  0.475
S  0.464  0.536  0.250
S  0.536  0.464  0.750
S  0.895  0.105  0.525
S  0.895  0.105  0.975